1) ZnWBr GGA-PBE optimized geometry; DOS at the Fermi energy = 0.798 states/eV per atom
1.0
4.5614 0.0000 0.0000
-2.2807 3.9503 0.0000
0.0000 0.0000 2.8973
Br Zn W
1 1 1
Direct
0.0000 0.0000 0.1666 Br
0.6667 0.3333 0.6668 Zn
0.3333 0.6667 0.1665 W

***

2) ZnWBr GGA-PBE optimized geometry; DOS at the Fermi energy = 0.796 states/eV per atom
1.0
-0.0126 -4.0993 -1.5819
1.7224 -0.8338 -3.9553
3.7660 -2.2397 -0.3285
W Zn Br
1 1 1
Direct
0.7500 0.7500 0.7500 W
0.0000 0.0000 0.0000 Zn
0.5000 0.5000 0.5000 Br

***

3) ZnWBr GGA-PBE optimized geometry; DOS at the Fermi energy = 0.566 states/eV per atom
1.0
3.0815 0.0000 0.0000
-1.5408 2.6687 0.0000
0.0000 0.0000 6.9034
Br W Zn
1 1 1
Direct
0.0000 0.0000 0.0490 Br
0.6667 0.3333 0.3276 W
0.3333 0.6667 0.6234 Zn

***

4) ZnWBr GGA-PBE optimized geometry; DOS at the Fermi energy = 0.386 states/eV per atom
1.0
6.9420 0.0097 0.0000
5.6087 4.0906 0.0000
-6.2753 -2.0502 2.1466
Zn Br W
1 1 1
Direct
0.7079 0.7079 0.0000 Zn
0.9619 0.9619 0.0000 Br
0.3302 0.3302 0.0000 W

***

Preferred: 3); penalty for the next structure: 134 meV/atom.

***

1) ZnWBr GGA-PBE optimized geometry; DOS at the Fermi energy = 0.630 states/eV per atom
1.0
-4.2426 -0.5196 0.7295
-1.7742 -3.9490 -0.2441
-1.3516 -1.9961 3.6042
W Zn Br
1 1 1
Direct
0.0000 0.0000 0.0000 W
0.5000 0.5000 0.5000 Zn
0.7500 0.7500 0.7500 Br

***

2) ZnWBr GGA-PBE optimized geometry; DOS at the Fermi energy = 0.692 states/eV per atom
1.0
7.7179 0.0394 -0.0228
6.7124 3.0150 -0.0208
1.0055 -1.4838 2.5792
W Zn Br
1 1 1
Direct
0.6657 0.6657 0.3343 W
0.3153 0.3153 0.6847 Zn
0.0190 0.0190 0.9810 Br

***

Preferred: 2); penalty for the next structure: 923 meV/atom.

***

1) Zn3WBr GGA-PBE optimized geometry; DOS at the Fermi energy = 0.936 states/eV per atom
1.0
-4.7588 0.4090 1.1810
0.3535 -4.0191 2.8161
1.1989 2.8085 3.8579
Zn W Br
3 1 1
Direct
0.0000 0.0000 0.5000 Zn
0.5000 0.0000 0.0000 Zn
0.0000 0.5000 0.0000 Zn
0.5000 0.5000 0.5000 W
0.0000 0.0000 0.0000 Br

***

2) Zn3WBr GGA-PBE optimized geometry; DOS at the Fermi energy = 0.504 states/eV per atom
1.0
-3.6971 0.6654 3.5686
-3.3209 -2.6771 -2.9413
1.4661 -4.3860 2.3367
Zn Br W
3 1 1
Direct
0.0000 0.5000 0.0000 Zn
0.5000 0.0000 0.0000 Zn
0.0000 0.0000 0.5000 Zn
0.5000 0.5000 0.5000 Br
0.0000 0.0000 0.0000 W

***

Preferred: 2); penalty for the next structure: 703 meV/atom.

***

1) ZrW2Br GGA-PBE optimized geometry; DOS at the Fermi energy = 0.611 states/eV per atom
1.0
5.5721 0.0029 0.0026
4.6500 3.0702 0.0026
0.8486 0.2551 4.4357
W Br Zr
2 1 1
Direct
0.0077 0.0077 0.9669 W
0.4923 0.4923 0.5331 W
0.2500 0.2500 0.2500 Br
0.7500 0.7500 0.7500 Zr

***

2) ZrW2Br GGA-PBE optimized geometry; DOS at the Fermi energy = 0.663 states/eV per atom
1.0
-1.5146 -2.2234 4.5472
-0.0159 -2.7591 -1.3544
4.4173 -0.6016 1.1772
Br Zr W
1 1 2
Direct
0.5000 0.7500 0.7500 Br
0.5000 0.2500 0.2500 Zr
0.0000 0.5349 0.4900 W
0.0000 0.9651 0.0100 W

***

3) ZrW2Br GGA-PBE optimized geometry; DOS at the Fermi energy = 0.868 states/eV per atom
1.0
5.1042 0.0006 -0.0062
4.0820 3.0643 -0.0062
1.7182 0.5733 5.0198
Br W Zr
1 2 1
Direct
0.2806 0.2806 0.3266 Br
0.9906 0.9906 0.9360 W
0.6983 0.6983 0.8038 W
0.5305 0.5305 0.4336 Zr

***

Preferred: 1); penalty for the next structure: 9 meV/atom.